Record 1
{
  "formula": "ZrMoAu2",
  "functional": "GGA-PBE",
  "state": "relaxed",
  "lattice": [[-2.5902, -1.3201, -0.4538], [0.4878, 0.0389, -2.9014], [3.7128, -7.4654, 0.5242]],
  "species": ["Au", "Au", "Mo", "Zr"],
  "fractional_positions": [[0.0000, 0.0000, 0.4890], [0.0000, 0.0000, 0.0110], [0.5000, 0.5000, 0.2500], [0.5000, 0.5000, 0.7500]],
  "formation_energy_mev_per_atom": -23,
  "total_magnetization_mub_per_cell": 0.3
}

=====

Record 2
{
  "formula": "ThSc3S",
  "functional": "GGA-PBE",
  "state": "relaxed",
  "lattice": [[-3.1214, -3.0307, -2.3838], [-1.1892, -2.1608, 4.3044], [-3.6679, 3.2797, 0.6331]],
  "species": ["Sc", "Sc", "Th", "S", "Sc"],
  "fractional_positions": [[0.0000, 0.0000, 0.5000], [0.5000, 0.0000, 0.0000], [0.5000, 0.5000, 0.5000], [0.0000, 0.0000, 0.0000], [0.0000, 0.5000, 0.0000]],
  "total_magnetization_mub_per_cell": 0.0,
  "e_form_raw_ev_per_atom": -0.576
}

=====

Record 3
{
  "formula": "Pr2AlPd",
  "functional": "GGA-PBE",
  "state": "relaxed",
  "lattice": [[-2.4408, 3.5511, -0.2386], [-3.7556, -2.5624, 0.2837], [1.9867, 1.7181, 5.2463]],
  "species": ["Pr", "Al", "Pr", "Pd"],
  "fractional_positions": [[0.0000, 0.1067, 0.2135], [0.0000, 0.8136, 0.6273], [0.5000, 0.3970, 0.7941], [0.5000, 0.6780, 0.3559]],
  "formation_energy_mev_per_atom": -536,
  "total_magnetization_mub_per_cell": 0.0
}

=====

Record 4
{
  "formula": "CsTe2H4",
  "functional": "GGA-PBE",
  "state": "relaxed",
  "lattice": [[-3.5254, 1.2206, -3.6237], [-5.0557, -4.6315, 1.6998], [-0.5220, 6.9438, 1.1882]],
  "species": ["H", "H", "Cs", "H", "Te", "Te", "H"],
  "fractional_positions": [[0.4004, 0.0757, 0.5659], [0.5996, 0.4341, 0.9243], [0.0000, 0.9699, 0.0301], [0.0965, 0.9339, 0.4268], [0.0000, 0.2688, 0.7312], [0.5000, 0.7443, 0.2557], [0.9035, 0.5732, 0.0661]],
  "total_magnetization_mub_per_cell": 0.0,
  "dft_energy_ev_per_atom": -2.756
}

=====

Record 5
{
  "formula": "ZnHg4Au",
  "functional": "GGA-PBE",
  "state": "relaxed",
  "lattice": [[1.2064, -5.4968, 1.9440], [0.3747, -1.0755, 5.8440], [-4.2286, -3.1918, 2.7167]],
  "species": ["Hg", "Au", "Hg", "Zn", "Hg", "Hg"],
  "fractional_positions": [[0.3747, 0.3747, 0.3747], [0.0000, 0.0000, 0.0000], [0.3747, 0.3747, 0.8759], [0.7500, 0.7500, 0.7500], [0.3747, 0.8759, 0.3747], [0.8759, 0.3747, 0.3747]],
  "formation_energy_mev_per_atom": 360,
  "total_magnetization_mub_per_cell": 0.0
}

=====

Record 6
{
  "formula": "VPNCl2",
  "functional": "GGA-PBE",
  "state": "relaxed",
  "lattice": [[4.1301, 0.0000, 0.0000], [0.0000, 4.1301, 0.0000], [0.0000, 0.0000, 4.4845]],
  "species": ["Cl", "Cl", "V", "P", "N"],
  "fractional_positions": [[0.0000, 0.5000, 0.0000], [0.5000, 0.0000, 0.0000], [0.5000, 0.5000, 0.5000], [0.0000, 0.0000, 0.5000], [0.0000, 0.0000, 0.0000]],
  "total_magnetization_mub_per_cell": 0.0,
  "e_form_raw_ev_per_atom": 1.242
}

=====

Record 7
{
  "formula": "YPuHgIr",
  "functional": "GGA-PBE",
  "state": "relaxed",
  "lattice": [[-3.1639, -2.0658, 3.3693], [-1.7966, -4.6734, -0.7491], [1.5671, -3.8151, 2.9359]],
  "species": ["Hg", "Pu", "Y", "Ir"],
  "fractional_positions": [[0.0000, 0.0000, 0.0000], [0.2500, 0.2500, 0.2500], [0.7500, 0.7500, 0.7500], [0.5000, 0.5000, 0.5000]],
  "formation_energy_mev_per_atom": -365,
  "total_magnetization_mub_per_cell": 5.4
}

=====

Record 8
{
  "formula": "DyFeIr",
  "functional": "GGA-PBE",
  "state": "relaxed",
  "lattice": [[-3.8837, 1.9177, 2.1405], [-0.1604, -0.5967, 5.6962], [2.5303, 8.9419, 2.0324]],
  "species": ["Dy", "Dy", "Ir", "Fe", "Dy", "Ir", "Fe", "Ir", "Fe", "Dy", "Ir", "Fe"],
  "fractional_positions": [[0.8505, 0.2990, 0.0000], [0.6005, 0.7990, 0.5000], [0.1264, 0.0000, 0.7472], [0.3310, 0.5000, 0.3381], [0.8995, 0.2010, 0.5000], [0.6236, 0.5000, 0.7528], [0.5810, 0.0000, 0.8381], [0.8764, 0.5000, 0.2472], [0.1690, 0.5000, 0.6619], [0.1495, 0.7010, 0.0000], [0.8736, 0.0000, 0.2528], [0.4190, 0.0000, 0.1619]],
  "formation_energy_mev_per_atom": -52,
  "total_magnetization_mub_per_cell": 11.7
}

=====

| no. | D(E_F) (states/eV/f.u.) |
| --- | --- |
| 1 | 4.38 |
| 2 | 6.10 |
| 3 | 4.58 |
| 4 | 0.97 |
| 5 | 3.79 |
| 6 | 6.39 |
| 7 | 9.76 |
| 8 | 2.69 |